# In2Ru2I (PBE-GGA, relaxed)
data_In2Ru2I
_cell_length_a 3.6484
_cell_length_b 3.6484
_cell_length_c 17.7791
_cell_angle_alpha 90.00
_cell_angle_beta 90.00
_cell_angle_gamma 90.00
_symmetry_space_group_name_H-M 'I 4/m m m'
_symmetry_Int_Tables_number 139
_symmetry_space_group_name_Hall '-I 4 2'
loop_
_atom_site_label
_atom_site_fract_x
_atom_site_fract_y
_atom_site_fract_z
_atom_site_occupancy
In1 0.0000 0.0000 0.1264 1
Ru1 0.0000 0.5000 0.2500 1
I1 0.0000 0.0000 0.5000 1
# Raw formation energy in eV per formula unit: 2.04
# Distance to the lowest polymorph of the same formula in meV/atom: 0.0

=====

# InSb2RuI (PBE-GGA, relaxed)
data_InSb2RuI
_cell_length_a 5.0812
_cell_length_b 5.0812
_cell_length_c 5.9938
_cell_angle_alpha 90.00
_cell_angle_beta 90.00
_cell_angle_gamma 90.00
_symmetry_space_group_name_H-M 'P 4/m m m'
_symmetry_Int_Tables_number 123
_symmetry_space_group_name_Hall '-P 4 2'
loop_
_atom_site_label
_atom_site_fract_x
_atom_site_fract_y
_atom_site_fract_z
_atom_site_occupancy
In1 0.0000 0.0000 0.0000 1
Sb1 0.0000 0.5000 0.5000 1
Ru1 0.5000 0.5000 0.5000 1
I1 0.5000 0.5000 0.0000 1
# Raw formation energy in eV per formula unit: 1.43
# Distance to the lowest polymorph of the same formula in meV/atom: 0.0

=====

# InSn2RuI (PBE-GGA, relaxed)
data_InSn2RuI
_cell_length_a 5.1551
_cell_length_b 5.1551
_cell_length_c 5.3438
_cell_angle_alpha 90.00
_cell_angle_beta 90.00
_cell_angle_gamma 90.00
_symmetry_space_group_name_H-M 'P 4/m m m'
_symmetry_Int_Tables_number 123
_symmetry_space_group_name_Hall '-P 4 2'
loop_
_atom_site_label
_atom_site_fract_x
_atom_site_fract_y
_atom_site_fract_z
_atom_site_occupancy
In1 0.0000 0.0000 0.0000 1
Sn1 0.0000 0.5000 0.5000 1
Ru1 0.0000 0.0000 0.5000 1
I1 0.5000 0.5000 0.0000 1
# Raw formation energy in eV per formula unit: -1.03

=====

# InTe2RuI (PBE-GGA, relaxed)
data_InTe2RuI
_cell_length_a 5.6577
_cell_length_b 5.6577
_cell_length_c 5.8137
_cell_angle_alpha 90.00
_cell_angle_beta 90.00
_cell_angle_gamma 90.00
_symmetry_space_group_name_H-M 'P 4/m m m'
_symmetry_Int_Tables_number 123
_symmetry_space_group_name_Hall '-P 4 2'
loop_
_atom_site_label
_atom_site_fract_x
_atom_site_fract_y
_atom_site_fract_z
_atom_site_occupancy
In1 0.0000 0.0000 0.0000 1
Te1 0.0000 0.5000 0.0000 1
Ru1 0.5000 0.5000 0.5000 1
I1 0.0000 0.0000 0.5000 1
# Raw formation energy in eV per formula unit: 5.76
# Distance to the lowest polymorph of the same formula in meV/atom: 928.6

=====

# InTeRuI2 (PBE-GGA, relaxed)
data_InTeRuI2
_cell_length_a 5.7336
_cell_length_b 5.7336
_cell_length_c 5.0088
_cell_angle_alpha 90.00
_cell_angle_beta 90.00
_cell_angle_gamma 90.00
_symmetry_space_group_name_H-M 'P 4/m m m'
_symmetry_Int_Tables_number 123
_symmetry_space_group_name_Hall '-P 4 2'
loop_
_atom_site_label
_atom_site_fract_x
_atom_site_fract_y
_atom_site_fract_z
_atom_site_occupancy
In1 0.0000 0.0000 0.0000 1
Te1 0.5000 0.5000 0.0000 1
Ru1 0.5000 0.5000 0.5000 1
I1 0.0000 0.5000 0.5000 1
# Raw formation energy in eV per formula unit: 0.71
# Distance to the lowest polymorph of the same formula in meV/atom: 0.0

=====

# InTeRuI2 (PBE-GGA, relaxed)
data_InTeRuI2
_cell_length_a 5.8446
_cell_length_b 5.8446
_cell_length_c 5.7430
_cell_angle_alpha 90.00
_cell_angle_beta 90.00
_cell_angle_gamma 90.00
_symmetry_space_group_name_H-M 'P 4/m m m'
_symmetry_Int_Tables_number 123
_symmetry_space_group_name_Hall '-P 4 2'
loop_
_atom_site_label
_atom_site_fract_x
_atom_site_fract_y
_atom_site_fract_z
_atom_site_occupancy
In1 0.0000 0.0000 0.0000 1
Te1 0.0000 0.0000 0.5000 1
Ru1 0.5000 0.5000 0.5000 1
I1 0.0000 0.5000 0.0000 1
# Raw formation energy in eV per formula unit: 5.02
# Distance to the lowest polymorph of the same formula in meV/atom: 861.5

=====

# InTe2RuI (PBE-GGA, relaxed)
data_InTe2RuI
_cell_length_a 5.1893
_cell_length_b 5.1893
_cell_length_c 5.8602
_cell_angle_alpha 90.00
_cell_angle_beta 90.00
_cell_angle_gamma 90.00
_symmetry_space_group_name_H-M 'P 4/m m m'
_symmetry_Int_Tables_number 123
_symmetry_space_group_name_Hall '-P 4 2'
loop_
_atom_site_label
_atom_site_fract_x
_atom_site_fract_y
_atom_site_fract_z
_atom_site_occupancy
In1 0.0000 0.0000 0.0000 1
Te1 0.0000 0.5000 0.5000 1
Ru1 0.5000 0.5000 0.5000 1
I1 0.5000 0.5000 0.0000 1
# Raw formation energy in eV per formula unit: 1.12
# Distance to the lowest polymorph of the same formula in meV/atom: 0.0

=====

# Zn2InRuI (PBE-GGA, relaxed)
data_Zn2InRuI
_cell_length_a 5.3378
_cell_length_b 5.3378
_cell_length_c 4.8925
_cell_angle_alpha 90.00
_cell_angle_beta 90.00
_cell_angle_gamma 90.00
_symmetry_space_group_name_H-M 'P 4/m m m'
_symmetry_Int_Tables_number 123
_symmetry_space_group_name_Hall '-P 4 2'
loop_
_atom_site_label
_atom_site_fract_x
_atom_site_fract_y
_atom_site_fract_z
_atom_site_occupancy
Zn1 0.0000 0.5000 0.0000 1
In1 0.0000 0.0000 0.5000 1
Ru1 0.5000 0.5000 0.5000 1
I1 0.5000 0.5000 0.0000 1
# Raw formation energy in eV per formula unit: 5.72

=====

| no. | N(E_F) (states/eV per cell) |
| --- | --- |
| 1 | 10.1 |
| 2 | 3.9 |
| 3 | 0.3 |
| 4 | 6.1 |
| 5 | 3.6 |
| 6 | 6.4 |
| 7 | 6.6 |
| 8 | 4.7 |